{
  "formula": "Rb2CdNiF6",
  "functional": "PBE+U",
  "state": "relaxed",
  "space_group": "No. 225",
  "e_tot_ev_per_atom": -4.123,
  "cell": [[-4.747, 2.023, 3.226], [1.900, -3.210, 4.808], [0.911, 2.773, 5.342]],
  "species": ["F", "Cd", "Rb", "Ni", "F", "F", "F", "F", "F", "Rb"],
  "fractional_positions": [[0.262, 0.262, 0.000], [0.000, 0.000, 0.000], [0.250, 0.750, 0.500], [0.500, 0.500, 0.000], [0.738, 0.262, 0.000], [0.262, 0.262, 0.475], [0.262, 0.738, 0.000], [0.738, 0.738, 0.525], [0.738, 0.738, 0.000], [0.750, 0.250, 0.500]]
}